13
Lattice="-4.098 2.601 -0.931 -5.101 -3.811 -1.316 -3.560 1.000 5.347" Properties=species:S:1:pos:R:3 comment="PuZn6Ni6 PBE relaxed" e_tot_ev_per_atom=-4.572 vol_a3_per_fu=178.6 space_group="Immm, No. 71" pbc="T T T"
Pu 0.000 0.000 0.000
Zn -7.059 -0.910 2.289
Zn -5.700 0.701 0.811
Zn -4.091 -0.656 3.053
Zn -4.570 -2.154 0.979
Zn -2.979 0.197 0.546
Zn -9.780 -0.406 2.554
Ni -2.550 -1.905 -0.658
Ni -4.599 -0.605 -1.123
Ni -1.780 0.500 2.674
Ni -3.829 1.801 2.208
Ni -6.799 -1.415 -0.264
Ni -5.960 1.206 3.365